[1]
Here is BaSr2MgIr after structural relaxation from the Alexandria database. Energies are from PBE-GGA.

Properties
volume	42.06	A^3/atom
space-group type	P4/mmm, No. 123
crystal system	tetragonal
polymorph energy (0 for the lowest one)	5.3	meV/atom
formation enthalpy at 0 K	-0.060	eV/atom

abc: 5.879 5.879 6.085
angles: 90.00 90.00 90.00
Sites, in units of the cell vectors:
1 Ba 0.000 0.000 0.000
2 Sr 0.000 0.500 0.500
3 Sr 0.500 0.000 0.500
4 Mg 0.500 0.500 0.000
5 Ir 0.000 0.000 0.500

***

[2]
Here is AcPmCdRh after structural relaxation from the Alexandria database. Energies are from PBE-GGA.

Properties
volume	27.07	A^3/atom
space-group type	F-43m, No. 216
crystal system	cubic
formation enthalpy at 0 K	-0.365	eV/atom

abc: 7.566 7.566 7.566
angles: 90.00 90.00 90.00
Sites, in units of the cell vectors:
1 Ac 0.000 0.000 0.000
2 Ac 0.000 0.500 0.500
3 Ac 0.500 0.000 0.500
4 Ac 0.500 0.500 0.000
5 Pm 0.000 0.000 0.500
6 Pm 0.000 0.500 0.000
7 Pm 0.500 0.000 0.000
8 Pm 0.500 0.500 0.500
9 Cd 0.250 0.250 0.750
10 Cd 0.250 0.750 0.250
11 Cd 0.750 0.250 0.250
12 Cd 0.750 0.750 0.750
13 Rh 0.250 0.250 0.250
14 Rh 0.250 0.750 0.750
15 Rh 0.750 0.250 0.750
16 Rh 0.750 0.750 0.250

***

[3]
Here is PrTmCdIr after structural relaxation from the Alexandria database. Energies are from PBE-GGA.

Properties
volume	23.63	A^3/atom
space-group type	F-43m, No. 216
crystal system	cubic
formation enthalpy at 0 K	-0.467	eV/atom

abc: 7.231 7.231 7.231
angles: 90.00 90.00 90.00
Sites, in units of the cell vectors:
1 Pr 0.000 0.000 0.000
2 Pr 0.000 0.500 0.500
3 Pr 0.500 0.000 0.500
4 Pr 0.500 0.500 0.000
5 Tm 0.000 0.000 0.500
6 Tm 0.000 0.500 0.000
7 Tm 0.500 0.000 0.000
8 Tm 0.500 0.500 0.500
9 Cd 0.250 0.250 0.750
10 Cd 0.250 0.750 0.250
11 Cd 0.750 0.250 0.250
12 Cd 0.750 0.750 0.750
13 Ir 0.250 0.250 0.250
14 Ir 0.250 0.750 0.750
15 Ir 0.750 0.250 0.750
16 Ir 0.750 0.750 0.250

***

[4]
Here is ZrTe2Mo after structural relaxation from the Alexandria database. Energies are from PBE-GGA.

Properties
volume	20.70	A^3/atom
space-group type	P4/mmm, No. 123
crystal system	tetragonal
polymorph energy (0 for the lowest one)	150.3	meV/atom
ΔE_f (raw)	-0.166	eV per atom

abc: 4.883 4.883 3.472
angles: 90.00 90.00 90.00
Sites, in units of the cell vectors:
1 Zr 0.000 0.000 0.000
2 Te 0.000 0.500 0.500
3 Te 0.500 0.000 0.500
4 Mo 0.500 0.500 0.000

***

[5]
Here is LiCd2Cl after structural relaxation from the Alexandria database. Energies are from PBE-GGA.

Properties
volume	22.03	A^3/atom
space-group type	P4/mmm, No. 123
crystal system	tetragonal
polymorph energy (0 for the lowest one)	313.7	meV/atom
ΔE_f (raw)	-0.369	eV per atom

abc: 3.289 3.289 8.146
angles: 90.00 90.00 90.00
Sites, in units of the cell vectors:
1 Li 0.000 0.000 0.000
2 Cd 0.500 0.500 0.243
3 Cd 0.500 0.500 0.757
4 Cl 0.000 0.000 0.500

***

[6]
Here is Sr2Hg2Au after structural relaxation from the Alexandria database. Energies are from PBE-GGA.

Properties
volume	30.14	A^3/atom
space-group type	C2/m, No. 12
crystal system	monoclinic
polymorph energy (0 for the lowest one)	0.0	meV/atom
formation enthalpy at 0 K	-0.576	eV/atom

abc: 6.298 6.298 12.464
angles: 111.04 111.04 41.30
Sites, in units of the cell vectors:
1 Sr 0.001 0.001 0.336
2 Sr 0.185 0.185 0.118
3 Sr 0.815 0.815 0.882
4 Sr 0.999 0.999 0.664
5 Hg 0.346 0.346 0.447
6 Hg 0.461 0.461 0.109
7 Hg 0.539 0.539 0.891
8 Hg 0.654 0.654 0.553
9 Au 0.301 0.301 0.685
10 Au 0.699 0.699 0.315